VASP calculation (GGA-PBE) on a relaxed structure of TcOsPt4.

Cell lengths 5.179, 5.179, 5.179 Å; angles 60.00, 60.00, 60.00 degrees
Atoms (fractional coordinates):
Tc1 0.000 0.000 0.000
Os1 0.750 0.750 0.750
Pt1 0.375 0.375 0.375
Pt2 0.375 0.375 0.875
Pt3 0.375 0.875 0.375
Pt4 0.875 0.375 0.375


VASP calculation (GGA-PBE) on a relaxed structure of Tc2OsPt.

Cell lengths 3.870, 3.870, 3.907 Å; angles 90.00, 90.00, 90.00 degrees
Atoms (fractional coordinates):
Tc1 0.000 0.500 0.000
Tc2 0.500 0.000 0.000
Os1 0.000 0.000 0.500
Pt1 0.500 0.500 0.500

Results
Its offset from the most stable computed form is 88 meV/atom.


Number 1: ΔH_f (0 K) 329 kJ/mol of formula units, VASP energy -42.4 eV/cell, Fermi-level density of states 0.658 states/eV per atom. Number 2: ΔH_f (0 K) -19 kJ/mol of formula units, VASP energy -38.2 eV/cell, Fermi-level density of states 1.187 states/eV per atom.